# 1
The following is a DFT calculation (PBE) of crystalline ScTe at its relaxed geometry.

Summary:
Its crystal system is monoclinic. The formation energy from raw total energies comes out at -1.0321 eV/atom. The total magnetization is 0.23 μB/f.u.

Unit cell a=5.6917 b=5.6917 c=7.7053 alpha=71.12 beta=71.12 gamma=39.30
Sites, in units of the cell vectors:
Te1 0.9901 0.9901 0.3994
Te2 0.7819 0.7819 0.0429
Te3 0.6587 0.6587 0.6706
Sc1 0.0683 0.0683 0.0009
Sc2 0.2945 0.2945 0.3320
Sc3 0.3732 0.3732 0.7209

---

# 2
The following is a DFT calculation (PBE) of crystalline Sc5Te3 at its relaxed geometry.

Summary:
Its crystal system is hexagonal. The formation energy from raw total energies comes out at -0.8308 eV/atom. The total magnetization is 0.00 μB/f.u.

Unit cell a=8.5421 b=8.5421 c=5.7828 alpha=90.00 beta=90.00 gamma=120.00
Sites, in units of the cell vectors:
Sc1 0.0000 0.2562 0.2500
Sc2 0.7438 0.0000 0.7500
Sc3 0.2562 0.0000 0.2500
Sc4 0.7438 0.7438 0.2500
Sc5 0.3333 0.6667 0.5000
Sc6 0.6667 0.3333 0.5000
Sc7 0.6667 0.3333 0.0000
Sc8 0.2562 0.2562 0.7500
Sc9 0.3333 0.6667 0.0000
Sc10 0.0000 0.7438 0.7500
Te1 0.3821 0.0000 0.7500
Te2 0.0000 0.6179 0.2500
Te3 0.0000 0.3821 0.7500
Te4 0.6179 0.6179 0.7500
Te5 0.3821 0.3821 0.2500
Te6 0.6179 0.0000 0.2500

---

# 3
The following is a DFT calculation (PBE) of crystalline ScTe3 at its relaxed geometry.

Summary:
Its crystal system is monoclinic. The formation energy from raw total energies comes out at -0.5605 eV/atom. The total magnetization is 0.00 μB/f.u.

Unit cell a=6.8706 b=6.8706 c=5.2000 alpha=79.96 beta=79.96 gamma=32.20
Sites, in units of the cell vectors:
Sc1 0.0000 0.0000 0.0000
Te1 0.6672 0.6672 0.8162
Te2 0.5000 0.5000 0.5000
Te3 0.3328 0.3328 0.1838

---

# 4
The following is a DFT calculation (PBE) of crystalline ScTe3 at its relaxed geometry.

Summary:
Its crystal system is cubic. The formation energy from raw total energies comes out at -0.3801 eV/atom. The total magnetization is 0.00 μB/f.u.

Unit cell a=5.9846 b=5.9846 c=5.9846 alpha=90.00 beta=90.00 gamma=90.00
Sites, in units of the cell vectors:
Te1 0.5000 0.0000 0.2500
Te2 0.5000 0.0000 0.7500
Te3 0.0000 0.2500 0.5000
Te4 0.0000 0.7500 0.5000
Te5 0.2500 0.5000 0.0000
Te6 0.7500 0.5000 0.0000
Sc1 0.5000 0.5000 0.5000
Sc2 0.0000 0.0000 0.0000

---

# 5
The following is a DFT calculation (PBE) of crystalline ScTe at its relaxed geometry.

Summary:
Its crystal system is trigonal. The formation energy from raw total energies comes out at -0.8520 eV/atom. The total magnetization is 0.53 μB/f.u.

Unit cell a=8.7918 b=8.7918 c=8.7918 alpha=30.61 beta=30.61 gamma=30.61
Sites, in units of the cell vectors:
Sc1 0.2068 0.2068 0.2068
Sc2 0.7932 0.7932 0.7932
Te1 0.9121 0.9121 0.9121
Te2 0.0879 0.0879 0.0879

---

# 6
The following is a DFT calculation (PBE) of crystalline ScTe2 at its relaxed geometry.

Summary:
Its crystal system is cubic. The formation energy from raw total energies comes out at -0.8415 eV/atom. The total magnetization is 0.00 μB/f.u.

Unit cell a=7.1242 b=7.1242 c=7.1242 alpha=90.00 beta=90.00 gamma=90.00
Sites, in units of the cell vectors:
Sc1 0.0000 0.0000 0.0000
Sc2 0.0000 0.5000 0.5000
Sc3 0.5000 0.5000 0.0000
Sc4 0.5000 0.0000 0.5000
Te1 0.8707 0.3707 0.8707
Te2 0.6293 0.8707 0.8707
Te3 0.6293 0.6293 0.3707
Te4 0.3707 0.1293 0.1293
Te5 0.1293 0.6293 0.1293
Te6 0.3707 0.3707 0.6293
Te7 0.8707 0.1293 0.3707
Te8 0.1293 0.8707 0.6293